# 1
First-principles (PBEsol) data for crystalline KIr2Br at its relaxed geometry, as listed in the Alexandria database.

```
KIr2Br
1.0
-1.378 -1.421 -1.996
0.680 -1.332 2.459
-8.842 2.918 4.025
Br Ir K
1 2 1
direct
0.500 0.000 0.000
0.000 0.000 0.225
0.000 0.000 0.775
0.500 0.000 0.500
```

Values from the calculation:
mass density = 11.674 g/cm3
raw total energy = -18.3 eV for the cell shown
ΔE_f (raw) = 1.08 eV per atom

***

# 2
First-principles (PBEsol) data for crystalline KIrBr2 at its relaxed geometry, as listed in the Alexandria database.

```
KIrBr2
1.0
-0.666 2.438 2.359
1.680 -1.851 2.388
7.039 3.837 -1.978
Br Ir K
2 1 1
direct
0.000 0.000 0.989
0.500 0.500 0.338
0.000 0.000 0.417
0.500 0.500 0.756
```

Values from the calculation:
mass density = 6.581 g/cm3
raw total energy = -14.3 eV for the cell shown
ΔE_f (raw) = 0.10 eV per atom

***

# 3
First-principles (PBEsol) data for crystalline LaIr2Br at its relaxed geometry, as listed in the Alexandria database.

```
LaIr2Br
1.0
4.030 0.000 0.000
0.000 4.030 0.000
-2.015 -2.015 10.092
Ir Br La
4 2 2
direct
0.125 0.173 0.750
0.423 0.875 0.250
0.827 0.375 0.250
0.625 0.577 0.750
0.500 0.500 0.000
0.750 0.250 0.500
0.250 0.750 0.500
0.000 0.000 0.000
```

Values from the calculation:
mass density = 12.226 g/cm3
raw total energy = -52.9 eV for the cell shown
ΔE_f (raw) = 0.11 eV per atom

***

# 4
First-principles (PBEsol) data for crystalline LaIr2Br at its relaxed geometry, as listed in the Alexandria database.

```
LaIr2Br
1.0
-0.887 0.477 3.367
-1.707 -3.073 -0.014
6.347 -3.536 2.174
Br La Ir
1 1 2
direct
0.500 0.500 0.711
0.000 0.000 0.470
0.500 0.500 0.198
0.000 0.000 0.120
```

Values from the calculation:
mass density = 10.691 g/cm3
raw total energy = -28.1 eV for the cell shown
ΔE_f (raw) = -0.31 eV per atom

***

# 5
First-principles (PBEsol) data for crystalline LaIr2Br at its relaxed geometry, as listed in the Alexandria database.

```
LaIr2Br
1.0
3.519 0.000 -0.144
0.000 3.505 0.000
-1.317 0.000 7.653
Ir Br La
2 1 1
direct
0.882 0.000 0.120
0.419 0.500 0.199
0.655 0.500 0.711
0.044 0.000 0.470
```

Values from the calculation:
mass density = 10.689 g/cm3
raw total energy = -28.1 eV for the cell shown
ΔE_f (raw) = -0.31 eV per atom

***

# 6
First-principles (PBEsol) data for crystalline La3IrBr3 at its relaxed geometry, as listed in the Alexandria database.

```
La3IrBr3
1.0
10.408 0.000 0.000
-3.469 9.812 0.000
-3.469 -4.906 8.498
Br La Ir
12 12 4
direct
0.258 0.242 0.250
0.750 0.492 0.508
0.485 0.242 0.992
0.258 0.015 0.508
0.242 0.492 0.985
0.242 0.750 0.758
0.492 0.485 0.742
0.492 0.008 0.250
0.750 0.258 0.742
0.008 0.258 0.515
0.015 0.008 0.758
0.008 0.750 0.992
0.972 0.986 0.236
0.736 0.972 0.486
0.250 0.514 0.486
0.986 0.250 0.014
0.764 0.514 0.028
0.986 0.736 0.472
0.250 0.736 0.264
0.736 0.764 0.750
0.514 0.986 0.750
0.514 0.528 0.264
0.764 0.250 0.236
0.528 0.764 0.014
0.500 0.750 0.500
0.000 0.500 0.250
0.750 0.000 0.000
0.750 0.750 0.250
```

Values from the calculation:
mass density = 6.496 g/cm3
raw total energy = -167.2 eV for the cell shown
ΔE_f (raw) = -1.48 eV per atom

***

# 7
First-principles (PBEsol) data for crystalline LaIr2Br at its relaxed geometry, as listed in the Alexandria database.

```
LaIr2Br
1.0
3.099 -0.003 0.000
-0.043 4.856 0.000
-1.528 -2.427 4.996
Ir La Br
2 1 1
direct
0.000 0.000 0.500
0.500 0.500 0.500
0.500 0.000 0.000
0.000 0.500 0.000
```

Values from the calculation:
mass density = 13.321 g/cm3
raw total energy = -26.6 eV for the cell shown
ΔE_f (raw) = 0.06 eV per atom

***

# 8
First-principles (PBEsol) data for crystalline La3IrBr at its relaxed geometry, as listed in the Alexandria database.

```
La3IrBr
1.0
-0.246 -4.030 -3.586
4.863 -1.719 1.598
-2.334 -3.157 3.707
La Ir Br
3 1 1
direct
0.500 0.000 0.000
0.000 0.500 0.000
0.000 0.000 0.500
0.500 0.500 0.500
0.000 0.000 0.000
```

Values from the calculation:
mass density = 7.264 g/cm3
raw total energy = -26.7 eV for the cell shown
ΔE_f (raw) = 0.21 eV per atom

***

# 9
First-principles (PBEsol) data for crystalline La2IrBr at its relaxed geometry, as listed in the Alexandria database.

```
La2IrBr
1.0
-3.493 0.666 -2.108
-2.439 -3.179 -1.015
-5.830 -0.005 5.607
Br Ir La
1 1 2
direct
0.500 0.500 0.500
0.000 0.000 0.000
0.733 0.733 0.801
0.267 0.267 0.199
```

Values from the calculation:
mass density = 7.984 g/cm3
raw total energy = -27.1 eV for the cell shown
ΔE_f (raw) = -1.19 eV per atom

***

# 10
First-principles (PBEsol) data for crystalline LaIr2Br at its relaxed geometry, as listed in the Alexandria database.

```
LaIr2Br
1.0
-0.096 2.071 3.302
2.133 -2.736 1.779
4.440 2.519 -1.451
Br Ir La
1 2 1
direct
0.000 0.000 0.500
0.000 0.500 0.000
0.500 0.000 0.000
0.500 0.500 0.500
```

Values from the calculation:
mass density = 12.418 g/cm3
raw total energy = -26.5 eV for the cell shown
ΔE_f (raw) = 0.09 eV per atom

***

# 11
First-principles (PBEsol) data for crystalline Li4IrBr at its relaxed geometry, as listed in the Alexandria database.

```
Li4IrBr
1.0
-2.002 -3.554 2.776
-3.110 -3.253 -2.022
1.395 -4.692 -0.616
Li Br Ir
4 1 1
direct
0.371 0.888 0.371
0.371 0.371 0.371
0.888 0.371 0.371
0.371 0.371 0.888
0.750 0.750 0.750
0.000 0.000 0.000
```

Values from the calculation:
mass density = 5.864 g/cm3
raw total energy = -18.7 eV for the cell shown
ΔE_f (raw) = 0.14 eV per atom

***

# 12
First-principles (PBEsol) data for crystalline LiIrBr at its relaxed geometry, as listed in the Alexandria database.

```
LiIrBr
1.0
2.902 0.000 0.000
0.000 2.902 0.000
-1.451 -1.451 5.694
Br Ir Li
1 1 1
direct
0.005 0.005 0.010
0.671 0.671 0.341
0.324 0.324 0.649
```

Values from the calculation:
mass density = 9.663 g/cm3
raw total energy = -12.4 eV for the cell shown
ΔE_f (raw) = 0.41 eV per atom

***

# 13
First-principles (PBEsol) data for crystalline Li2IrBr at its relaxed geometry, as listed in the Alexandria database.

```
Li2IrBr
1.0
4.353 0.000 0.000
2.176 3.770 0.000
2.176 1.257 3.554
Br Ir Li
1 1 2
direct
0.500 0.500 0.500
0.250 0.250 0.250
0.750 0.750 0.750
0.000 0.000 0.000
```

Values from the calculation:
mass density = 8.144 g/cm3
raw total energy = -14.9 eV for the cell shown
ΔE_f (raw) = 0.17 eV per atom

***

# 14
First-principles (PBEsol) data for crystalline Li2IrBr at its relaxed geometry, as listed in the Alexandria database.

```
Li2IrBr
1.0
2.955 0.000 0.000
1.477 2.559 0.000
1.477 0.853 7.901
Br Ir Li
1 1 2
direct
0.500 0.500 0.500
0.000 0.000 0.000
0.248 0.248 0.255
0.752 0.752 0.745
```

Values from the calculation:
mass density = 7.948 g/cm3
raw total energy = -16.6 eV for the cell shown
ΔE_f (raw) = -0.24 eV per atom

***

# 15
First-principles (PBEsol) data for crystalline Li2IrBr at its relaxed geometry, as listed in the Alexandria database.

```
Li2IrBr
1.0
2.895 -0.013 0.000
-1.265 2.604 0.000
0.000 0.000 8.066
Li Ir Br
2 1 1
direct
0.000 0.000 0.250
0.000 0.000 0.750
0.500 0.500 0.000
0.500 0.500 0.500
```

Values from the calculation:
mass density = 7.826 g/cm3
raw total energy = -16.4 eV for the cell shown
ΔE_f (raw) = -0.20 eV per atom

***

# 16
First-principles (PBEsol) data for crystalline LiIrSeBr2 at its relaxed geometry, as listed in the Alexandria database.

```
LiIrSeBr2
1.0
-1.891 1.856 3.746
-4.012 -3.493 -0.294
2.733 -3.397 3.062
Li Br Se Ir
1 2 1 1
direct
0.500 0.500 0.500
0.000 0.000 0.500
0.000 0.500 0.000
0.500 0.000 0.000
0.000 0.000 0.000
```

Values from the calculation:
mass density = 5.583 g/cm3
raw total energy = -20.1 eV for the cell shown
ΔE_f (raw) = -0.15 eV per atom

***

# 17
First-principles (PBEsol) data for crystalline LiIrSe2Br at its relaxed geometry, as listed in the Alexandria database.

```
LiIrSe2Br
1.0
-1.910 2.329 -3.727
-0.734 -4.175 -2.234
-4.908 -0.362 2.289
Br Li Se Ir
1 1 2 1
direct
0.000 0.000 0.500
0.500 0.500 0.500
0.500 0.000 0.000
0.000 0.500 0.000
0.000 0.000 0.000
```

Values from the calculation:
mass density = 5.823 g/cm3
raw total energy = -21.2 eV for the cell shown
ΔE_f (raw) = 0.02 eV per atom

***

# 18
First-principles (PBEsol) data for crystalline MgIrBr at its relaxed geometry, as listed in the Alexandria database.

```
MgIrBr
1.0
4.356 0.000 0.000
2.178 3.773 0.000
2.178 1.258 3.557
Mg Ir Br
1 1 1
direct
0.000 0.000 0.000
0.250 0.250 0.250
0.500 0.500 0.500
```

Values from the calculation:
mass density = 8.419 g/cm3
raw total energy = -12.3 eV for the cell shown
ΔE_f (raw) = 0.39 eV per atom

***

# 19
First-principles (PBEsol) data for crystalline Mn2IrBr at its relaxed geometry, as listed in the Alexandria database.

```
Mn2IrBr
1.0
3.050 0.000 0.000
0.000 3.286 0.000
-1.525 -1.643 6.912
Mn Ir Br
2 1 1
direct
0.066 0.066 0.132
0.784 0.284 0.569
0.205 0.705 0.411
0.444 0.444 0.889
```

Values from the calculation:
mass density = 9.157 g/cm3
raw total energy = -29.4 eV for the cell shown
ΔE_f (raw) = 0.44 eV per atom

***

# 20
First-principles (PBEsol) data for crystalline Mn2IrBr at its relaxed geometry, as listed in the Alexandria database.

```
Mn2IrBr
1.0
3.082 0.000 0.000
0.000 3.082 0.000
0.000 0.000 7.126
Ir Mn Br
1 2 1
direct
0.500 0.500 0.500
0.000 0.000 0.712
0.000 0.000 0.288
0.500 0.500 0.000
```

Values from the calculation:
mass density = 9.369 g/cm3
raw total energy = -29.9 eV for the cell shown
ΔE_f (raw) = 0.33 eV per atom

***

# 21
First-principles (PBEsol) data for crystalline MnIr2Br at its relaxed geometry, as listed in the Alexandria database.

```
MnIr2Br
1.0
-1.231 -2.362 0.617
1.480 -2.124 0.879
-1.064 1.497 9.657
Ir Mn Br
2 1 1
direct
0.766 0.766 0.701
0.234 0.234 0.299
0.500 0.500 0.500
0.000 0.000 0.000
```

Values from the calculation:
mass density = 13.729 g/cm3
raw total energy = -29.3 eV for the cell shown
ΔE_f (raw) = 0.50 eV per atom

***

# 22
First-principles (PBEsol) data for crystalline MnIr2Br at its relaxed geometry, as listed in the Alexandria database.

```
MnIr2Br
1.0
2.966 0.000 0.000
0.000 2.966 0.000
0.000 0.000 6.962
Ir Mn Br
2 1 1
direct
0.000 0.000 0.798
0.000 0.000 0.202
0.500 0.500 0.000
0.500 0.500 0.500
```

Values from the calculation:
mass density = 14.083 g/cm3
raw total energy = -29.1 eV for the cell shown
ΔE_f (raw) = 0.54 eV per atom

***

# 23
First-principles (PBEsol) data for crystalline MnIr2Br at its relaxed geometry, as listed in the Alexandria database.

```
MnIr2Br
1.0
4.068 0.000 0.000
0.000 4.068 0.000
0.000 0.000 3.667
Mn Ir Br
1 2 1
direct
0.500 0.500 0.500
0.500 0.000 0.000
0.000 0.500 0.000
0.000 0.000 0.500
```

Values from the calculation:
mass density = 14.212 g/cm3
raw total energy = -27.6 eV for the cell shown
ΔE_f (raw) = 0.92 eV per atom

***

# 24
First-principles (PBEsol) data for crystalline MnIrBr at its relaxed geometry, as listed in the Alexandria database.

```
MnIrBr
1.0
-2.993 0.406 -3.033
0.600 -1.774 -3.849
-2.327 -3.394 -1.178
Br Mn Ir
1 1 1
direct
0.500 0.500 0.500
0.000 0.000 0.000
0.750 0.750 0.750
```

Values from the calculation:
mass density = 9.795 g/cm3
raw total energy = -19.1 eV for the cell shown
ΔE_f (raw) = 0.80 eV per atom

***

# 25
First-principles (PBEsol) data for crystalline Mn2IrBr at its relaxed geometry, as listed in the Alexandria database.

```
Mn2IrBr
1.0
2.998 0.000 0.000
0.000 2.998 0.000
0.000 0.000 6.788
Mn Ir Br
2 1 1
direct
0.500 0.500 0.226
0.000 0.000 0.997
0.500 0.500 0.812
0.000 0.000 0.464
```

Values from the calculation:
mass density = 10.395 g/cm3
raw total energy = -29.3 eV for the cell shown
ΔE_f (raw) = 0.48 eV per atom

***

# 26
First-principles (PBEsol) data for crystalline YMnIr2Br at its relaxed geometry, as listed in the Alexandria database.

```
YMnIr2Br
1.0
-4.562 -0.428 0.774
0.850 -3.238 3.223
0.258 3.518 3.465
Ir Br Y Mn
2 1 1 1
direct
0.000 0.500 0.000
0.500 0.000 0.000
0.000 0.000 0.000
0.000 0.000 0.500
0.500 0.500 0.500
```

Values from the calculation:
mass density = 9.457 g/cm3
raw total energy = -32.3 eV for the cell shown
ΔE_f (raw) = 1.16 eV per atom

***

# 27
First-principles (PBEsol) data for crystalline MoIrBr2 at its relaxed geometry, as listed in the Alexandria database.

```
MoIrBr2
1.0
3.041 0.000 0.000
1.521 2.634 0.000
1.521 0.878 8.409
Br Mo Ir
2 1 1
direct
0.743 0.743 0.772
0.257 0.257 0.228
0.000 0.000 0.000
0.500 0.500 0.500
```

Values from the calculation:
mass density = 11.043 g/cm3
raw total energy = -22.5 eV for the cell shown
ΔE_f (raw) = 0.71 eV per atom

***

# 28
First-principles (PBEsol) data for crystalline MoIrBr2 at its relaxed geometry, as listed in the Alexandria database.

```
MoIrBr2
1.0
-0.462 -2.801 -1.087
4.039 -1.163 1.279
-1.839 -1.148 4.764
Br Ir Mo
2 1 1
direct
0.775 0.000 0.752
0.225 0.000 0.248
0.500 0.500 0.500
0.000 0.500 0.000
```

Values from the calculation:
mass density = 10.668 g/cm3
raw total energy = -21.5 eV for the cell shown
ΔE_f (raw) = 0.95 eV per atom

***

# 29
First-principles (PBEsol) data for crystalline MoIrBr3 at its relaxed geometry, as listed in the Alexandria database.

```
MoIrBr3
1.0
4.992 0.000 0.000
0.000 4.992 0.000
0.000 0.000 4.992
Ir Br Mo
1 3 1
direct
0.000 0.000 0.000
0.000 0.000 0.500
0.000 0.500 0.000
0.500 0.000 0.000
0.500 0.500 0.500
```

Values from the calculation:
mass density = 7.046 g/cm3
raw total energy = -21.9 eV for the cell shown
ΔE_f (raw) = 1.05 eV per atom